Record 1
CsPb | PBE | optimized geometry

Values from the calculation:
Space-group type: Fddd (70)

Geometry as POSCAR:
```
CsPb
1.0
0.000 6.532 7.738
4.627 0.000 7.738
4.627 6.532 0.000
Cs Pb
4 4
direct
0.071 0.679 0.071
0.321 0.929 0.321
0.679 0.071 0.679
0.929 0.321 0.929
0.225 0.525 0.525
0.475 0.775 0.775
0.525 0.225 0.225
0.775 0.475 0.475
```


Record 2
CsPb6 | PBE | optimized geometry

Values from the calculation:
Space-group type: Pnma (62)

Geometry as POSCAR:
```
CsPb6
1.0
10.583 0.000 0.000
0.000 7.247 0.000
0.000 0.000 13.405
Cs Pb
4 24
direct
0.237 0.250 0.059
0.263 0.750 0.559
0.737 0.250 0.441
0.763 0.750 0.941
0.058 0.022 0.301
0.058 0.478 0.301
0.085 0.750 0.094
0.094 0.250 0.534
0.164 0.750 0.856
0.196 0.250 0.770
0.304 0.750 0.270
0.336 0.250 0.356
0.406 0.750 0.034
0.415 0.250 0.594
0.442 0.522 0.801
0.442 0.978 0.801
0.558 0.022 0.199
0.558 0.478 0.199
0.585 0.750 0.406
0.594 0.250 0.966
0.664 0.750 0.644
0.696 0.250 0.730
0.804 0.750 0.230
0.836 0.250 0.144
0.906 0.750 0.466
0.915 0.250 0.906
0.942 0.522 0.699
0.942 0.978 0.699
```


Record 3
CsPb | PBE | optimized geometry

Values from the calculation:
Space-group type: P2_1/m (11)

Geometry as POSCAR:
```
CsPb
1.0
6.115 0.000 0.000
0.000 4.842 0.000
-3.059 0.000 7.297
Cs Pb
2 2
direct
0.147 0.250 0.293
0.853 0.750 0.707
0.436 0.250 0.874
0.564 0.750 0.126
```


Record 4
CsPb6 | PBE | optimized geometry

Values from the calculation:
Space-group type: Pm-3m (221)

Geometry as POSCAR:
```
CsPb6
1.0
7.665 0.000 0.000
0.000 7.665 0.000
0.000 0.000 7.665
Cs Pb
1 6
direct
0.000 0.000 0.000
0.202 0.500 0.500
0.500 0.202 0.500
0.500 0.500 0.202
0.500 0.500 0.798
0.500 0.798 0.500
0.798 0.500 0.500
```


Record 5
CsPb | PBE | optimized geometry

Values from the calculation:
Space-group type: Imma (74)

Geometry as POSCAR:
```
CsPb
1.0
-2.434 5.219 5.186
2.434 -5.219 5.186
2.434 5.219 -5.186
Cs Pb
2 2
direct
0.000 0.000 0.000
0.500 0.000 0.500
0.413 0.663 0.750
0.587 0.337 0.250
```


Record 6
Cs2PdPb3 | PBE | optimized geometry

Values from the calculation:
Space-group type: C2/c (15)

Geometry as POSCAR:
```
Cs2PdPb3
1.0
7.459 -4.551 0.000
7.459 4.551 0.000
-0.061 0.000 7.636
Cs Pd Pb
4 2 6
direct
0.050 0.270 0.245
0.270 0.050 0.745
0.730 0.950 0.255
0.950 0.730 0.755
0.395 0.605 0.750
0.605 0.395 0.250
0.268 0.732 0.250
0.381 0.383 0.498
0.383 0.381 0.998
0.617 0.619 0.002
0.619 0.617 0.502
0.732 0.268 0.750
```


Record 7
CsPdPb | PBE | optimized geometry

Values from the calculation:
Space-group type: P2_1/c (14)

Geometry as POSCAR:
```
CsPdPb
1.0
8.909 0.000 0.000
0.000 4.584 0.000
-7.664 0.000 10.519
Cs Pd Pb
4 4 4
direct
0.148 0.000 0.423
0.148 0.500 0.923
0.852 0.000 0.577
0.852 0.500 0.077
0.465 0.001 0.883
0.465 0.499 0.383
0.535 0.501 0.617
0.535 0.999 0.117
0.344 0.501 0.730
0.344 0.999 0.230
0.656 0.001 0.770
0.656 0.499 0.270
```


Record 8
CsPdPb3 | PBE | optimized geometry

Values from the calculation:
Space-group type: P2_1/m (11)

Geometry as POSCAR:
```
CsPdPb3
1.0
8.992 0.000 0.000
0.000 4.561 0.000
-3.279 0.000 8.822
Cs Pd Pb
2 2 6
direct
0.227 0.250 0.429
0.773 0.750 0.571
0.397 0.250 0.986
0.603 0.750 0.014
0.065 0.250 0.896
0.288 0.750 0.782
0.356 0.750 0.149
0.644 0.250 0.851
0.712 0.250 0.218
0.935 0.750 0.104
```


Record 9
CsPd2Pb2 | PBE | optimized geometry

Values from the calculation:
Space-group type: I4_1md (109)

Geometry as POSCAR:
```
CsPd2Pb2
1.0
-3.525 3.525 6.488
3.525 -3.525 6.488
3.525 3.525 -6.488
Cs Pd Pb
2 4 4
direct
0.000 0.000 0.000
0.750 0.250 0.500
0.202 0.511 0.691
0.261 0.071 0.809
0.261 0.452 0.191
0.821 0.511 0.309
0.453 0.718 0.735
0.468 0.232 0.765
0.468 0.703 0.235
0.982 0.718 0.265
```


Record 10
CsPd2Pb2 | PBE | optimized geometry

Values from the calculation:
Space-group type: P4/mbm (127)

Geometry as POSCAR:
```
CsPd2Pb2
1.0
9.118 0.000 0.000
0.000 9.118 0.000
0.000 0.000 3.357
Cs Pd Pb
2 4 4
direct
0.000 0.000 0.000
0.500 0.500 0.000
0.133 0.367 0.500
0.367 0.867 0.500
0.633 0.133 0.500
0.867 0.633 0.500
0.129 0.629 0.000
0.371 0.129 0.000
0.629 0.871 0.000
0.871 0.371 0.000
```


Number 1: electronic total energy -18.51 eV for the cell shown. Number 2: electronic total energy -93.27 eV for the cell shown. Number 3: electronic total energy -9.71 eV for the cell shown. Number 4: electronic total energy -21.66 eV for the cell shown. Number 5: electronic total energy -9.63 eV for the cell shown. Number 6: electronic total energy -38.21 eV for the cell shown. Number 7: electronic total energy -40.83 eV for the cell shown. Number 8: electronic total energy -36.81 eV for the cell shown. Number 9: electronic total energy -38.12 eV for the cell shown. Number 10: electronic total energy -37.52 eV for the cell shown.